A relaxed ErPuTl2O6 crystal. Source: the Alexandria database, functional PBE.

Output
* energy relative to the elements, uncorrected: -2.16 eV/atom
* SG: Fm-3m
* size of the total moment: 1.0 Bohr magnetons per cell

abc: 6.0932 6.0933 6.0936
angles: 60.00 60.00 59.99
Element x y z (fractional)
O  0.5527  0.0800  0.8155
Tl  0.5662  0.5662  0.3014
O  0.0801  0.5519  0.8154
O  0.5519  0.5526  0.8154
O  0.0797  0.5523  0.2876
Er  0.8162  0.8162  0.5515
O  0.0804  0.0797  0.2877
O  0.5522  0.0804  0.2877
Tl  0.0662  0.0662  0.8015
Pu  0.3162  0.3162  0.0515